(1)
VASP calculation (PBE-GGA) on crystalline Ac2TmCuS5 at its relaxed geometry.

Density   6700 kg/m3
Uncorrected energy   -216.14 eV for the cell shown
Raw formation energy   -1603 kJ/mol of formula units

Structure (CIF):
```
data_Ac2TmCuS5
_cell_length_a 4.054
_cell_length_b 17.194
_cell_length_c 12.044
_cell_angle_alpha 90.00
_cell_angle_beta 90.00
_cell_angle_gamma 90.00
_space_group_name_H-M_alt 'C m c 21'
_space_group_IT_number 36
loop_
_space_group_symop_operation_xyz
'x,y,z'
'-x,-y,z+1/2'
'-x,y,z'
'x,-y,z+1/2'
'x+1/2,y+1/2,z'
'-x+1/2,-y+1/2,z+1/2'
'-x+1/2,y+1/2,z'
'x+1/2,-y+1/2,z+1/2'
loop_
_atom_site_label
_atom_site_fract_x
_atom_site_fract_y
_atom_site_fract_z
_atom_site_occupancy
Ac1 0.000 0.112 0.000 1
Ac2 0.000 0.124 0.627 1
Tm1 0.000 0.192 0.323 1
Cu1 0.000 0.442 0.761 1
S1 0.000 0.043 0.359 1
S2 0.000 0.292 0.977 1
S3 0.000 0.310 0.671 1
S4 0.000 0.351 0.317 1
S5 0.000 0.499 0.089 1
```



(2)
VASP calculation (PBE-GGA) on crystalline TaMo2Ir at its relaxed geometry.

Distance to the lowest polymorph of the same formula   266 meV/atom
N(E_F)   0.76 states/eV per atom
Density   14386 kg/m3
Uncorrected energy   -125.78 eV for the cell shown

Structure (CIF):
```
data_TaMo2Ir
_cell_length_a 2.8072
_cell_length_b 2.8072
_cell_length_c 28.6714
_cell_angle_alpha 90.00
_cell_angle_beta 90.00
_cell_angle_gamma 120.00
_space_group_name_H-M_alt 'R -3 m'
_space_group_IT_number 166
_space_group_name_Hall '-R 3 2"'
loop_
_atom_site_label
_atom_site_fract_x
_atom_site_fract_y
_atom_site_fract_z
_atom_site_occupancy
Ta1 0.0000 0.0000 0.0000 1
Mo1 0.0000 0.0000 0.2444 1
Ir1 0.0000 0.0000 0.5000 1
```



(3)
VASP calculation (PBE-GGA) on crystalline TaP3Se4 at its relaxed geometry.

N(E_F)   0.46 states/eV per atom
Density   6105 kg/m3
Uncorrected energy   -39.28 eV for the cell shown
Raw formation energy   265 kJ/mol of formula units

Structure (CIF):
```
data_TaP3Se4
_cell_length_a 5.433
_cell_length_b 5.433
_cell_length_c 5.433
_cell_angle_alpha 90.00
_cell_angle_beta 90.00
_cell_angle_gamma 90.00
_space_group_name_H-M_alt 'P -4 3 m'
_space_group_IT_number 215
_space_group_name_Hall 'P -4 2 3'
loop_
_atom_site_label
_atom_site_fract_x
_atom_site_fract_y
_atom_site_fract_z
_atom_site_occupancy
Ta1 0.000 0.000 0.000 1
P1 0.000 0.000 0.500 1
Se1 0.309 0.309 0.309 1
```



(4)
VASP calculation (PBE-GGA) on crystalline La3Si4Ag2 at its relaxed geometry.

N(E_F)   0.51 states/eV per atom
Density   5972 kg/m3
Uncorrected energy   -95.83 eV for the cell shown
Raw formation energy   -554 kJ/mol of formula units

Structure (CIF):
```
data_La3Si4Ag2
_cell_length_a 11.339
_cell_length_b 4.339
_cell_length_c 8.582
_cell_angle_alpha 90.00
_cell_angle_beta 101.19
_cell_angle_gamma 90.00
_space_group_name_H-M_alt 'C 1 2/m 1'
_space_group_IT_number 12
loop_
_space_group_symop_operation_xyz
'x,y,z'
'-x,-y,-z'
'-x,y,-z'
'x,-y,z'
'x+1/2,y+1/2,z'
'-x+1/2,-y+1/2,-z'
'-x+1/2,y+1/2,-z'
'x+1/2,-y+1/2,z'
loop_
_atom_site_label
_atom_site_fract_x
_atom_site_fract_y
_atom_site_fract_z
_atom_site_occupancy
La1 0.000 0.000 0.000 1
La2 0.162 0.500 0.672 1
Si1 0.056 0.000 0.396 1
Si2 0.221 0.500 0.048 1
Ag1 0.115 0.500 0.280 1
```



(5)
VASP calculation (PBE-GGA) on crystalline LiInS2 at its relaxed geometry.

Density   3276 kg/m3
Uncorrected energy   -32.68 eV for the cell shown
Raw formation energy   -331 kJ/mol of formula units

Structure (CIF):
```
data_LiInS2
_cell_length_a 4.069
_cell_length_b 8.203
_cell_length_c 5.646
_cell_angle_alpha 90.00
_cell_angle_beta 90.00
_cell_angle_gamma 90.00
_space_group_name_H-M_alt 'P m n 21'
_space_group_IT_number 31
loop_
_space_group_symop_operation_xyz
'x,y,z'
'-x+1/2,-y,z+1/2'
'-x,y,z'
'x+1/2,-y,z+1/2'
loop_
_atom_site_label
_atom_site_fract_x
_atom_site_fract_y
_atom_site_fract_z
_atom_site_occupancy
Li1 0.000 0.109 0.000 1
In1 0.000 0.645 0.037 1
S1 0.000 0.373 0.261 1
S2 0.000 0.882 0.277 1
```



(6)
VASP calculation (PBE-GGA) on crystalline Ta2AlCu at its relaxed geometry.

N(E_F)   0.85 states/eV per atom
Density   11340 kg/m3
Uncorrected energy   -93.29 eV for the cell shown

Structure (CIF):
```
data_Ta2AlCu
_cell_length_a 2.8607
_cell_length_b 2.8607
_cell_length_c 28.0444
_cell_angle_alpha 90.00
_cell_angle_beta 90.00
_cell_angle_gamma 120.00
_space_group_name_H-M_alt 'R -3 m'
_space_group_IT_number 166
_space_group_name_Hall '-R 3 2"'
loop_
_atom_site_label
_atom_site_fract_x
_atom_site_fract_y
_atom_site_fract_z
_atom_site_occupancy
Ta1 0.0000 0.0000 0.2479 1
Al1 0.0000 0.0000 0.0000 1
Cu1 0.0000 0.0000 0.5000 1
```



(7)
VASP calculation (PBE-GGA) on crystalline Cs2MoW at its relaxed geometry.

Distance to the lowest polymorph of the same formula   1280 meV/atom
N(E_F)   1.34 states/eV per atom
Density   9207 kg/m3
Uncorrected energy   -51.65 eV for the cell shown

Structure (CIF):
```
data_Cs2MoW
_cell_length_a 7.328
_cell_length_b 7.328
_cell_length_c 7.328
_cell_angle_alpha 90.00
_cell_angle_beta 90.00
_cell_angle_gamma 90.00
_space_group_name_H-M_alt 'F m -3 m'
_space_group_IT_number 225
_space_group_name_Hall '-F 4 2 3'
loop_
_atom_site_label
_atom_site_fract_x
_atom_site_fract_y
_atom_site_fract_z
_atom_site_occupancy
Cs1 0.250 0.250 0.250 1
Mo1 0.000 0.000 0.000 1
W1 0.000 0.000 0.500 1
```



(8)
VASP calculation (PBE-GGA) on crystalline TlTeCl2 at its relaxed geometry.

Distance to the lowest polymorph of the same formula   116 meV/atom
N(E_F)   0.27 states/eV per atom
Density   5819 kg/m3
Uncorrected energy   -21.20 eV for the cell shown
Raw formation energy   -135 kJ/mol of formula units

Structure (CIF):
```
data_TlTeCl2
_cell_length_a 7.826
_cell_length_b 9.131
_cell_length_c 3.509
_cell_angle_alpha 90.00
_cell_angle_beta 113.52
_cell_angle_gamma 90.00
_space_group_name_H-M_alt 'C 1 2/m 1'
_space_group_IT_number 12
loop_
_space_group_symop_operation_xyz
'x,y,z'
'-x,-y,-z'
'-x,y,-z'
'x,-y,z'
'x+1/2,y+1/2,z'
'-x+1/2,-y+1/2,-z'
'-x+1/2,y+1/2,-z'
'x+1/2,-y+1/2,z'
loop_
_atom_site_label
_atom_site_fract_x
_atom_site_fract_y
_atom_site_fract_z
_atom_site_occupancy
Tl1 0.000 0.000 0.000 1
Te1 0.000 0.500 0.000 1
Cl1 0.250 0.250 0.000 1
```



(9)
VASP calculation (PBE-GGA) on crystalline EuLuS2 at its relaxed geometry.

N(E_F)   0.41 states/eV per atom
Density   7381 kg/m3
Uncorrected energy   -93.59 eV for the cell shown
Raw formation energy   -786 kJ/mol of formula units

Structure (CIF):
```
data_EuLuS2
_cell_length_a 3.9296
_cell_length_b 3.9296
_cell_length_c 19.7360
_cell_angle_alpha 90.00
_cell_angle_beta 90.00
_cell_angle_gamma 120.00
_space_group_name_H-M_alt 'R -3 m'
_space_group_IT_number 166
_space_group_name_Hall '-R 3 2"'
loop_
_atom_site_label
_atom_site_fract_x
_atom_site_fract_y
_atom_site_fract_z
_atom_site_occupancy
Eu1 0.0000 0.0000 0.0000 1
Lu1 0.0000 0.0000 0.5000 1
S1 0.0000 0.0000 0.2424 1
```



(10)
VASP calculation (PBE-GGA) on crystalline BaSr3Os at its relaxed geometry.

Distance to the lowest polymorph of the same formula   1689 meV/atom
N(E_F)   3.50 states/eV per atom
Density   4803 kg/m3
Uncorrected energy   -7.80 eV for the cell shown

Structure (CIF):
```
data_BaSr3Os
_cell_length_a 5.888
_cell_length_b 5.888
_cell_length_c 5.888
_cell_angle_alpha 90.00
_cell_angle_beta 90.00
_cell_angle_gamma 90.00
_space_group_name_H-M_alt 'P m -3 m'
_space_group_IT_number 221
_space_group_name_Hall '-P 4 2 3'
loop_
_atom_site_label
_atom_site_fract_x
_atom_site_fract_y
_atom_site_fract_z
_atom_site_occupancy
Ba1 0.000 0.000 0.000 1
Sr1 0.000 0.000 0.500 1
Os1 0.500 0.500 0.500 1
```



(11)
VASP calculation (PBE-GGA) on crystalline Ti3Ni2 at its relaxed geometry.

Distance to the lowest polymorph of the same formula   44 meV/atom
N(E_F)   1.40 states/eV per atom
Density   5881 kg/m3
Uncorrected energy   -328.15 eV for the cell shown

Structure (CIF):
```
data_Ti3Ni2
_cell_length_a 7.4808
_cell_length_b 7.4808
_cell_length_c 13.6845
_cell_angle_alpha 90.00
_cell_angle_beta 90.00
_cell_angle_gamma 120.00
_space_group_name_H-M_alt 'R -3'
_space_group_IT_number 148
_space_group_name_Hall '-R 3'
loop_
_atom_site_label
_atom_site_fract_x
_atom_site_fract_y
_atom_site_fract_z
_atom_site_occupancy
Ti1 0.0000 0.0000 0.0000 1
Ti2 0.0000 0.0000 0.2212 1
Ti3 0.0026 0.7715 0.5922 1
Ni1 0.0263 0.4110 0.5684 1
```



(12)
VASP calculation (PBE-GGA) on crystalline CaMn3I at its relaxed geometry.

Distance to the lowest polymorph of the same formula   0 meV/atom
N(E_F)   1.14 states/eV per atom
Density   4693 kg/m3
Uncorrected energy   -26.02 eV for the cell shown
Raw formation energy   486 kJ/mol of formula units

Structure (CIF):
```
data_CaMn3I
_cell_length_a 4.897
_cell_length_b 4.897
_cell_length_c 4.897
_cell_angle_alpha 90.00
_cell_angle_beta 90.00
_cell_angle_gamma 90.00
_space_group_name_H-M_alt 'P m -3 m'
_space_group_IT_number 221
_space_group_name_Hall '-P 4 2 3'
loop_
_atom_site_label
_atom_site_fract_x
_atom_site_fract_y
_atom_site_fract_z
_atom_site_occupancy
Ca1 0.000 0.000 0.000 1
Mn1 0.000 0.500 0.500 1
I1 0.500 0.500 0.500 1
```



(13)
VASP calculation (PBE-GGA) on crystalline Np5Os at its relaxed geometry.

Density   20626 kg/m3
Uncorrected energy   -147.88 eV for the cell shown

Structure (CIF):
```
data_Np5Os
_cell_length_a 3.781
_cell_length_b 15.787
_cell_length_c 3.710
_cell_angle_alpha 90.00
_cell_angle_beta 90.00
_cell_angle_gamma 90.00
_space_group_name_H-M_alt 'C m m m'
_space_group_IT_number 65
_space_group_name_Hall '-C 2 2'
loop_
_atom_site_label
_atom_site_fract_x
_atom_site_fract_y
_atom_site_fract_z
_atom_site_occupancy
Np1 0.000 0.000 0.000 1
Np2 0.000 0.160 0.500 1
Np3 0.000 0.329 0.000 1
Os1 0.000 0.500 0.500 1
```



(14)
VASP calculation (PBE-GGA) on crystalline K3Mn5Te12 at its relaxed geometry.

N(E_F)   0.45 states/eV per atom
Density   4885 kg/m3
Uncorrected energy   -728.93 eV for the cell shown
Raw formation energy   -413 kJ/mol of formula units

Structure (CIF):
```
data_K3Mn5Te12
_cell_length_a 17.358
_cell_length_b 17.358
_cell_length_c 17.358
_cell_angle_alpha 90.00
_cell_angle_beta 90.00
_cell_angle_gamma 90.00
_space_group_name_H-M_alt 'I a -3 d'
_space_group_IT_number 230
_space_group_name_Hall '-I 4bd 2c 3'
loop_
_atom_site_label
_atom_site_fract_x
_atom_site_fract_y
_atom_site_fract_z
_atom_site_occupancy
K1 0.000 0.250 0.125 1
Mn1 0.000 0.000 0.000 1
Mn2 0.000 0.250 0.375 1
Te1 0.047 0.058 0.639 1
```



(15)
VASP calculation (PBE-GGA) on crystalline Ti2Se at its relaxed geometry.

N(E_F)   0.77 states/eV per atom
Density   5827 kg/m3
Uncorrected energy   -85.71 eV for the cell shown
Raw formation energy   -208 kJ/mol of formula units

Structure (CIF):
```
data_Ti2Se
_cell_length_a 5.235
_cell_length_b 3.392
_cell_length_c 11.215
_cell_angle_alpha 90.00
_cell_angle_beta 90.00
_cell_angle_gamma 90.00
_space_group_name_H-M_alt 'P n m a'
_space_group_IT_number 62
loop_
_space_group_symop_operation_xyz
'x,y,z'
'-x,-y,-z'
'-x+1/2,-y,z+1/2'
'x+1/2,y,-z+1/2'
'x+1/2,-y+1/2,-z+1/2'
'-x+1/2,y+1/2,z+1/2'
'-x,y+1/2,-z'
'x,-y+1/2,z'
loop_
_atom_site_label
_atom_site_fract_x
_atom_site_fract_y
_atom_site_fract_z
_atom_site_occupancy
Ti1 0.009 0.250 0.241 1
Ti2 0.223 0.250 0.945 1
Se1 0.221 0.250 0.616 1
```



(16)
VASP calculation (PBE-GGA) on crystalline Rb2YHg2Se4 at its relaxed geometry.

N(E_F)   0.42 states/eV per atom
Density   5799 kg/m3
Uncorrected energy   -63.46 eV for the cell shown
Raw formation energy   -848 kJ/mol of formula units

Structure (CIF):
```
data_Rb2YHg2Se4
_cell_length_a 16.745
_cell_length_b 4.239
_cell_length_c 8.583
_cell_angle_alpha 90.00
_cell_angle_beta 113.30
_cell_angle_gamma 90.00
_space_group_name_H-M_alt 'C 1 2/m 1'
_space_group_IT_number 12
loop_
_space_group_symop_operation_xyz
'x,y,z'
'-x,-y,-z'
'-x,y,-z'
'x,-y,z'
'x+1/2,y+1/2,z'
'-x+1/2,-y+1/2,-z'
'-x+1/2,y+1/2,-z'
'x+1/2,-y+1/2,z'
loop_
_atom_site_label
_atom_site_fract_x
_atom_site_fract_y
_atom_site_fract_z
_atom_site_occupancy
Rb1 0.127 0.000 0.069 1
Y1 0.000 0.000 0.500 1
Hg1 0.189 0.500 0.519 1
Se1 0.021 0.500 0.282 1
Se2 0.184 0.000 0.724 1
```



(17)
VASP calculation (PBE-GGA) on crystalline LaHgIr2 at its relaxed geometry.

N(E_F)   1.31 states/eV per atom
Density   13517 kg/m3
Uncorrected energy   -23.05 eV for the cell shown

Structure (CIF):
```
data_LaHgIr2
_cell_length_a 3.538
_cell_length_b 3.538
_cell_length_c 7.106
_cell_angle_alpha 90.00
_cell_angle_beta 90.00
_cell_angle_gamma 90.00
_space_group_name_H-M_alt 'P 4 m m'
_space_group_IT_number 99
loop_
_space_group_symop_operation_xyz
'x,y,z'
'-y,x,z'
'-x,-y,z'
'y,-x,z'
'-x,y,z'
'y,x,z'
'x,-y,z'
'-y,-x,z'
loop_
_atom_site_label
_atom_site_fract_x
_atom_site_fract_y
_atom_site_fract_z
_atom_site_occupancy
La1 0.000 0.000 0.000 1
Hg1 0.500 0.500 0.327 1
Ir1 0.000 0.000 0.616 1
Ir2 0.500 0.500 0.723 1
```



(18)
VASP calculation (PBE-GGA) on crystalline BeTl3 at its relaxed geometry.

Distance to the lowest polymorph of the same formula   93 meV/atom
N(E_F)   0.29 states/eV per atom
Density   10252 kg/m3
Uncorrected energy   -9.18 eV for the cell shown

Structure (CIF):
```
data_BeTl3
_cell_length_a 3.400
_cell_length_b 3.400
_cell_length_c 8.719
_cell_angle_alpha 90.00
_cell_angle_beta 90.00
_cell_angle_gamma 90.00
_space_group_name_H-M_alt 'P 4/m m m'
_space_group_IT_number 123
_space_group_name_Hall '-P 4 2'
loop_
_atom_site_label
_atom_site_fract_x
_atom_site_fract_y
_atom_site_fract_z
_atom_site_occupancy
Be1 0.000 0.000 0.000 1
Tl1 0.000 0.000 0.500 1
Tl2 0.500 0.500 0.194 1
```



(19)
VASP calculation (PBE-GGA) on crystalline ZrCrRu3 at its relaxed geometry.

N(E_F)   1.05 states/eV per atom
Density   8562 kg/m3
Uncorrected energy   -43.16 eV for the cell shown

Structure (CIF):
```
data_ZrCrRu3
_cell_length_a 4.424
_cell_length_b 4.424
_cell_length_c 4.424
_cell_angle_alpha 90.00
_cell_angle_beta 90.00
_cell_angle_gamma 90.00
_space_group_name_H-M_alt 'P m -3 m'
_space_group_IT_number 221
_space_group_name_Hall '-P 4 2 3'
loop_
_atom_site_label
_atom_site_fract_x
_atom_site_fract_y
_atom_site_fract_z
_atom_site_occupancy
Zr1 0.000 0.000 0.000 1
Cr1 0.500 0.500 0.500 1
Ru1 0.000 0.500 0.500 1
```



(20)
VASP calculation (PBE-GGA) on crystalline Y2CrCd at its relaxed geometry.

N(E_F)   1.02 states/eV per atom
Density   5560 kg/m3
Uncorrected energy   -22.75 eV for the cell shown

Structure (CIF):
```
data_Y2CrCd
_cell_length_a 3.728
_cell_length_b 3.728
_cell_length_c 7.353
_cell_angle_alpha 90.00
_cell_angle_beta 90.00
_cell_angle_gamma 90.00
_space_group_name_H-M_alt 'P 4 m m'
_space_group_IT_number 99
loop_
_space_group_symop_operation_xyz
'x,y,z'
'-y,x,z'
'-x,-y,z'
'y,-x,z'
'-x,y,z'
'y,x,z'
'x,-y,z'
'-y,-x,z'
loop_
_atom_site_label
_atom_site_fract_x
_atom_site_fract_y
_atom_site_fract_z
_atom_site_occupancy
Y1 0.000 0.000 0.000 1
Y2 0.500 0.500 0.316 1
Cr1 0.500 0.500 0.763 1
Cd1 0.000 0.000 0.568 1
```